(1)
Compound: NbCdC3
Source: Alexandria via LeMat-Bulk
Functional: PBE-GGA
Structure: relaxed

Results
The calculation puts the formation energy at 1.88 eV/atom.

Lattice parameters (Å, degrees): 4.2442 4.2442 4.2442 90.00 90.00 90.00
Closest atoms and distances in Å follow each position.
Space group Pm-3m (No. 221)
Symmetry-distinct sites (fractional):
Nb  0.0000  0.0000  0.0000 x1  6 C 2.12
Cd  0.5000  0.5000  0.5000 x1  12 C 3.00
C  0.0000  0.0000  0.5000 x3  2 Nb 2.12

=====

(2)
Compound: RbNbCd2C
Source: Alexandria via LeMat-Bulk
Functional: PBE-GGA
Structure: relaxed

Results
The calculation puts the formation energy at 3.04 eV/atom.

Lattice parameters (Å, degrees): 6.6690 6.6690 6.6993 90.00 90.00 90.00
Closest atoms and distances in Å follow each position.
Space group P4/mmm (No. 123)
Symmetry-distinct sites (fractional):
Rb  0.0000  0.0000  0.0000 x1  4 Cd 3.33, 2 Nb 3.35
Nb  0.0000  0.0000  0.5000 x1  2 Rb 3.35
Cd  0.0000  0.5000  0.0000 x2  2 Rb 3.33
C  0.5000  0.5000  0.5000 x1  4 Nb 4.72, 8 Cd 4.73

=====

(3)
Compound: Nb2CdReC
Source: Alexandria via LeMat-Bulk
Functional: PBE-GGA
Structure: relaxed

Results
The calculation puts the formation energy at 0.51 eV/atom.

Lattice parameters (Å, degrees): 4.3309 4.3309 4.2467 90.00 90.00 90.00
Closest atoms and distances in Å follow each position.
Space group P4/mmm (No. 123)
Symmetry-distinct sites (fractional):
Nb  0.0000  0.5000  0.0000 x2  2 C 2.17
Cd  0.0000  0.0000  0.5000 x1  2 C 2.12
Re  0.5000  0.5000  0.5000 x1  8 Nb 3.03, 4 Cd 3.06
C  0.0000  0.0000  0.0000 x1  2 Cd 2.12, 4 Nb 2.17

=====

(4)
Compound: Nb2CdRuC
Source: Alexandria via LeMat-Bulk
Functional: PBE-GGA
Structure: relaxed

Results
The calculation puts the formation energy at 1.17 eV/atom.

Lattice parameters (Å, degrees): 4.9982 4.9982 3.8286 90.00 90.00 90.00
Closest atoms and distances in Å follow each position.
Space group P4/mmm (No. 123)
Symmetry-distinct sites (fractional):
Nb  0.0000  0.5000  0.0000 x2  2 Ru 2.50
Cd  0.0000  0.0000  0.5000 x1  8 Nb 3.15
Ru  0.5000  0.5000  0.0000 x1  2 C 1.91
C  0.5000  0.5000  0.5000 x1  2 Ru 1.91

=====

(5)
Compound: NbCdRu2C
Source: Alexandria via LeMat-Bulk
Functional: PBE-GGA
Structure: relaxed

Results
The calculation puts the formation energy at 2.38 eV/atom.

Lattice parameters (Å, degrees): 4.9313 4.9313 3.7563 90.00 90.00 90.00
Closest atoms and distances in Å follow each position.
Space group P4/mmm (No. 123)
Symmetry-distinct sites (fractional):
Nb  0.0000  0.0000  0.0000 x1  8 Ru 3.10
Cd  0.5000  0.5000  0.5000 x1  2 C 1.88
Ru  0.0000  0.5000  0.5000 x2  2 Cd 2.47
C  0.5000  0.5000  0.0000 x1  2 Cd 1.88

=====

(6)
Compound: NbCd2RuC
Source: Alexandria via LeMat-Bulk
Functional: PBE-GGA
Structure: relaxed

Results
The calculation puts the formation energy at 2.43 eV/atom.

Lattice parameters (Å, degrees): 5.5597 5.5597 4.5460 90.00 90.00 90.00
Closest atoms and distances in Å follow each position.
Space group P4/mmm (No. 123)
Symmetry-distinct sites (fractional):
Nb  0.0000  0.0000  0.0000 x1  2 Ru 2.27
Cd  0.0000  0.5000  0.0000 x2  2 Nb 2.78
Ru  0.0000  0.0000  0.5000 x1  2 Nb 2.27
C  0.5000  0.5000  0.5000 x1  8 Cd 3.59, 4 Ru 3.93

=====

(7)
Compound: Sc2NbCdC
Source: Alexandria via LeMat-Bulk
Functional: PBE-GGA
Structure: relaxed

Results
The calculation puts the formation energy at -0.36 eV/atom.

Lattice parameters (Å, degrees): 4.5110 4.5110 4.4004 90.00 90.00 90.00
Closest atoms and distances in Å follow each position.
Space group P4/mmm (No. 123)
Symmetry-distinct sites (fractional):
Sc  0.0000  0.5000  0.0000 x2  2 C 2.26
Nb  0.0000  0.0000  0.5000 x1  2 C 2.20
Cd  0.5000  0.5000  0.5000 x1  8 Sc 3.15, 4 Nb 3.19
C  0.0000  0.0000  0.0000 x1  2 Nb 2.20, 4 Sc 2.26

=====

(8)
Compound: ScNb2CdC
Source: Alexandria via LeMat-Bulk
Functional: PBE-GGA
Structure: relaxed

Results
The calculation puts the formation energy at -0.22 eV/atom.

Lattice parameters (Å, degrees): 4.3516 4.3516 4.5364 90.00 90.00 90.00
Closest atoms and distances in Å follow each position.
Space group P4/mmm (No. 123)
Symmetry-distinct sites (fractional):
Sc  0.0000  0.0000  0.0000 x1  2 C 2.27
Nb  0.0000  0.5000  0.5000 x2  2 C 2.18
Cd  0.5000  0.5000  0.0000 x1  4 Sc 3.08, 8 Nb 3.14
C  0.0000  0.0000  0.5000 x1  4 Nb 2.18, 2 Sc 2.27

=====

(9)
Compound: YNb2CdC
Source: Alexandria via LeMat-Bulk
Functional: PBE-GGA
Structure: relaxed

Results
The calculation puts the formation energy at 3.08 eV/atom.

Lattice parameters (Å, degrees): 4.9380 4.9380 5.5708 90.00 90.00 90.00
Closest atoms and distances in Å follow each position.
Space group P4/mmm (No. 123)
Symmetry-distinct sites (fractional):
Y  0.0000  0.0000  0.0000 x1  4 Nb 2.47
Nb  0.0000  0.5000  0.0000 x2  2 Y 2.47
Cd  0.0000  0.0000  0.5000 x1  2 Y 2.79
C  0.5000  0.5000  0.5000 x1  4 Cd 3.49, 8 Nb 3.72

=====

(10)
Compound: Y2NbCdC
Source: Alexandria via LeMat-Bulk
Functional: PBE-GGA
Structure: relaxed

Results
The calculation puts the formation energy at -0.22 eV/atom.

Lattice parameters (Å, degrees): 4.9925 4.9925 4.3085 90.00 90.00 90.00
Closest atoms and distances in Å follow each position.
Space group P4/mmm (No. 123)
Symmetry-distinct sites (fractional):
Y  0.0000  0.5000  0.0000 x2  2 C 2.50
Nb  0.0000  0.0000  0.5000 x1  2 C 2.15
Cd  0.5000  0.5000  0.5000 x1  8 Y 3.30, 4 Nb 3.53
C  0.0000  0.0000  0.0000 x1  2 Nb 2.15

=====

(11)
Compound: Nd2CdC2
Source: Alexandria via LeMat-Bulk
Functional: PBE-GGA
Structure: relaxed

Results
The calculation puts the formation energy at -0.23 eV/atom.

Lattice parameters (Å, degrees): 16.3714 4.1236 7.0087 90.00 114.53 90.00
Closest atoms and distances in Å follow each position.
Space group C2/c (No. 15)
Symmetry-distinct sites (fractional):
Nd  0.1535  0.1685  0.0964 x8  3 C 2.43-2.67
Cd  0.0000  0.3977  0.2500 x4  6 Nd 3.22-3.55, 2 C 3.36
C  0.2245  0.3673  0.5147 x8  1 C 1.35

=====

(12)
Compound: Nd3Cd2C
Source: Alexandria via LeMat-Bulk
Functional: PBE-GGA
Structure: relaxed

Results
The calculation puts the formation energy at -0.13 eV/atom.

Lattice parameters (Å, degrees): 7.3972 7.3972 6.9639 90.00 90.00 120.00
Closest atoms and distances in Å follow each position.
Space group P6_3/mmc (No. 194)
Symmetry-distinct sites (fractional):
Nd  0.1504  0.3009  0.2500 x6  2 C 2.60
Cd  0.3333  0.6667  0.5613 x4  1 Cd 2.63
C  0.0000  0.0000  0.0000 x2  6 Nd 2.60

=====

(13)
Compound: Nd4Cd2C
Source: Alexandria via LeMat-Bulk
Functional: PBE-GGA
Structure: relaxed

Results
The calculation puts the formation energy at -0.13 eV/atom.

Lattice parameters (Å, degrees): 5.1681 5.1681 15.3844 90.00 90.00 90.00
Closest atoms and distances in Å follow each position.
Space group I4/mmm (No. 139)
Symmetry-distinct sites (fractional):
Nd  0.0000  0.0000  0.1646 x4  1 C 2.53
Nd  0.0000  0.5000  0.0000 x4  2 C 2.58
Cd  0.0000  0.0000  0.3701 x4  5 Nd 3.16-3.27
C  0.0000  0.0000  0.0000 x2  6 Nd 2.53-2.58

=====

(14)
Compound: NdCdC2O6
Source: Alexandria via LeMat-Bulk
Functional: PBE-GGA
Structure: relaxed

Results
The raw formation energy is -1.76 eV/atom.

Lattice parameters (Å, degrees): 8.7033 9.9490 7.2356 90.00 113.43 90.00
Closest atoms and distances in Å follow each position.
Space group C2/c (No. 15)
Symmetry-distinct sites (fractional):
Nd  0.0000  0.0958  0.2500 x4  8 O 2.36-2.58
Cd  0.0000  0.3949  0.7500 x4  4 O 2.60-2.85
C  0.2384  0.1249  0.7644 x8  3 O 1.27-1.31
O  0.0919  0.1095  0.6146 x8  1 C 1.31
O  0.1720  0.2719  0.2230 x8  1 C 1.27
O  0.2167  0.4713  0.1008 x8  1 C 1.31

=====

(15)
Compound: Pm2NdCdC
Source: Alexandria via LeMat-Bulk
Functional: PBE-GGA
Structure: relaxed

Results
The calculation puts the formation energy at -0.17 eV/atom.

Lattice parameters (Å, degrees): 5.0838 5.0838 5.1420 90.00 90.00 90.00
Closest atoms and distances in Å follow each position.
Space group P4/mmm (No. 123)
Symmetry-distinct sites (fractional):
Pm  0.0000  0.5000  0.0000 x2  2 C 2.54
Nd  0.0000  0.0000  0.5000 x1  2 C 2.57
Cd  0.5000  0.5000  0.5000 x1  4 Nd 3.59, 8 Pm 3.62
C  0.0000  0.0000  0.0000 x1  4 Pm 2.54, 2 Nd 2.57

=====

(16)
Compound: Nd2CdRuC
Source: Alexandria via LeMat-Bulk
Functional: PBE-GGA
Structure: relaxed

Results
The calculation puts the formation energy at -0.29 eV/atom.

Lattice parameters (Å, degrees): 5.2765 5.2765 3.9416 90.00 90.00 90.00
Closest atoms and distances in Å follow each position.
Space group P4/mmm (No. 123)
Symmetry-distinct sites (fractional):
Nd  0.0000  0.5000  0.0000 x2  2 C 2.64
Cd  0.0000  0.0000  0.5000 x1  8 Nd 3.29
Ru  0.5000  0.5000  0.5000 x1  2 C 1.97
C  0.5000  0.5000  0.0000 x1  2 Ru 1.97

=====

(17)
Compound: NdSm2CdC
Source: Alexandria via LeMat-Bulk
Functional: PBE-GGA
Structure: relaxed

Results
The calculation puts the formation energy at -0.18 eV/atom.

Lattice parameters (Å, degrees): 5.0504 5.0504 5.1498 90.00 90.00 90.00
Closest atoms and distances in Å follow each position.
Space group P4/mmm (No. 123)
Symmetry-distinct sites (fractional):
Nd  0.0000  0.0000  0.0000 x1  2 C 2.57
Sm  0.0000  0.5000  0.5000 x2  2 C 2.53
Cd  0.5000  0.5000  0.0000 x1  4 Nd 3.57, 8 Sm 3.61
C  0.0000  0.0000  0.5000 x1  4 Sm 2.53, 2 Nd 2.57

=====

(18)
Compound: Nd2TmCdC
Source: Alexandria via LeMat-Bulk
Functional: PBE-GGA
Structure: relaxed

Results
The calculation puts the formation energy at -0.21 eV/atom.

Lattice parameters (Å, degrees): 5.1936 5.1936 4.7714 90.00 90.00 90.00
Closest atoms and distances in Å follow each position.
Space group P4/mmm (No. 123)
Symmetry-distinct sites (fractional):
Nd  0.0000  0.5000  0.0000 x2  2 C 2.60
Tm  0.0000  0.0000  0.5000 x1  2 C 2.39
Cd  0.5000  0.5000  0.5000 x1  8 Nd 3.53, 4 Tm 3.67
C  0.0000  0.0000  0.0000 x1  2 Tm 2.39, 4 Nd 2.60

=====

(19)
Compound: NdY2CdC
Source: Alexandria via LeMat-Bulk
Functional: PBE-GGA
Structure: relaxed

Results
The calculation puts the formation energy at -0.27 eV/atom.

Lattice parameters (Å, degrees): 4.9203 4.9203 5.2031 90.00 90.00 90.00
Closest atoms and distances in Å follow each position.
Space group P4/mmm (No. 123)
Symmetry-distinct sites (fractional):
Nd  0.0000  0.0000  0.0000 x1  2 C 2.60
Y  0.0000  0.5000  0.5000 x2  2 C 2.46
Cd  0.5000  0.5000  0.0000 x1  4 Nd 3.48, 8 Y 3.58
C  0.0000  0.0000  0.5000 x1  4 Y 2.46, 2 Nd 2.60

=====

(20)
Compound: CdNi6C
Source: Alexandria via LeMat-Bulk
Functional: PBE-GGA
Structure: relaxed

Results
The calculation puts the formation energy at 0.18 eV/atom.

Lattice parameters (Å, degrees): 5.0606 5.0606 13.2674 90.00 90.00 120.00
Closest atoms and distances in Å follow each position.
Space group R-3m (No. 166, hexagonal axes)
Symmetry-distinct sites (fractional):
Cd  0.0000  0.0000  0.0000 x3  12 Ni 2.79
Ni  0.0161  0.5080  0.9116 x18  1 C 1.85
C  0.0000  0.0000  0.5000 x3  6 Ni 1.85

=====

(21)
Compound: CdNi3C
Source: Alexandria via LeMat-Bulk
Functional: PBE-GGA
Structure: relaxed

Results
The calculation puts the formation energy at 0.02 eV/atom.

Lattice parameters (Å, degrees): 3.8596 3.8596 3.8596 90.00 90.00 90.00
Closest atoms and distances in Å follow each position.
Space group Pm-3m (No. 221)
Symmetry-distinct sites (fractional):
Cd  0.0000  0.0000  0.0000 x1  12 Ni 2.73
Ni  0.0000  0.5000  0.5000 x3  2 C 1.93
C  0.5000  0.5000  0.5000 x1  6 Ni 1.93

=====

(22)
Compound: CdNi2C
Source: Alexandria via LeMat-Bulk
Functional: PBE-GGA
Structure: relaxed

Results
The calculation puts the formation energy at 0.48 eV/atom.

Lattice parameters (Å, degrees): 4.6448 4.6448 11.2121 90.00 90.00 90.00
Closest atoms and distances in Å follow each position.
Space group I4_1/amd (No. 141, origin choice 2)
Symmetry-distinct sites (fractional):
Cd  0.0000  0.2500  0.3750 x4  8 Ni 2.95, 4 C 3.28
Ni  0.0000  0.0000  0.0000 x8  2 C 1.82
C  0.0000  0.2500  0.8750 x4  4 Ni 1.82

=====

(23)
Compound: CdNi3C
Source: Alexandria via LeMat-Bulk
Functional: PBE-GGA
Structure: relaxed

Results
The calculation puts the formation energy at 2.67 eV/atom.

Lattice parameters (Å, degrees): 4.6362 4.6362 4.6362 90.00 90.00 90.00
Closest atoms and distances in Å follow each position.
Space group Pm-3m (No. 221)
Symmetry-distinct sites (fractional):
Cd  0.0000  0.0000  0.0000 x1  6 Ni 2.32
Ni  0.0000  0.0000  0.5000 x3  2 Cd 2.32
C  0.5000  0.5000  0.5000 x1  12 Ni 3.28

=====

(24)
Compound: CdNi2C
Source: Alexandria via LeMat-Bulk
Functional: PBE-GGA
Structure: relaxed

Results
The calculation puts the formation energy at 1.25 eV/atom.

Lattice parameters (Å, degrees): 5.7898 5.7898 5.7898 90.00 90.00 90.00
Closest atoms and distances in Å follow each position.
Space group Fm-3m (No. 225)
Symmetry-distinct sites (fractional):
Cd  0.0000  0.0000  0.0000 x4  8 Ni 2.51
Ni  0.2500  0.2500  0.2500 x8  4 C 2.51, 4 Cd 2.51
C  0.0000  0.0000  0.5000 x4  8 Ni 2.51

=====

| no. | calculated volume (Å³ per atom) |
| --- | --- |
| 1 | 15.29 |
| 2 | 59.59 |
| 3 | 15.93 |
| 4 | 19.13 |
| 5 | 18.27 |
| 6 | 28.10 |
| 7 | 17.91 |
| 8 | 17.18 |
| 9 | 27.17 |
| 10 | 21.48 |
| 11 | 21.52 |
| 12 | 27.50 |
| 13 | 29.35 |
| 14 | 14.37 |
| 15 | 26.58 |
| 16 | 21.95 |
| 17 | 26.27 |
| 18 | 25.74 |
| 19 | 25.19 |
| 20 | 12.26 |
| 21 | 11.50 |
| 22 | 15.12 |
| 23 | 19.93 |
| 24 | 12.13 |